1.
# GGA-PBE Pr4TlAu7, optimized geometry
# N(E_F) (states/eV/f.u.): 8.34
# Energy of formation from the pure elements (eV per atom): -0.5624
data_Pr4TlAu7
_chemical_formula_sum 'Pr8 Tl2 Au14'
_cell_length_a 14.995
_cell_length_b 5.226
_cell_length_c 9.381
_cell_angle_alpha 90.00
_cell_angle_beta 122.14
_cell_angle_gamma 90.00
_symmetry_space_group_name_H-M 'C 1 2/m 1'
_symmetry_Int_Tables_number 12
loop_
_symmetry_equiv_pos_as_xyz
'x,y,z'
'-x,-y,-z'
'-x,y,-z'
'x,-y,z'
'x+1/2,y+1/2,z'
'-x+1/2,-y+1/2,-z'
'-x+1/2,y+1/2,-z'
'x+1/2,-y+1/2,z'
loop_
_atom_site_label
_atom_site_type_symbol
_atom_site_fract_x
_atom_site_fract_y
_atom_site_fract_z
Pr1 Pr 0.060 0.000 0.242
Pr2 Pr 0.232 0.000 0.757
Tl1 Tl 0.000 0.500 0.500
Au1 Au 0.000 0.000 0.500
Au2 Au 0.092 0.500 0.870
Au3 Au 0.175 0.000 0.051
Au4 Au 0.198 0.500 0.496

2.
# GGA-PBE Ho5InCu4, optimized geometry
# N(E_F) (states/eV/f.u.): 6.64
# Energy of formation from the pure elements (eV per atom): -0.3009
data_Ho5InCu4
_chemical_formula_sum 'Ho5 In1 Cu4'
_cell_length_a 3.451
_cell_length_b 3.451
_cell_length_c 18.230
_cell_angle_alpha 90.00
_cell_angle_beta 90.00
_cell_angle_gamma 90.00
_symmetry_space_group_name_H-M 'P 4/m m m'
_symmetry_Int_Tables_number 123
_symmetry_space_group_name_Hall '-P 4 2'
loop_
_atom_site_label
_atom_site_type_symbol
_atom_site_fract_x
_atom_site_fract_y
_atom_site_fract_z
Ho1 Ho 0.000 0.000 0.000
Ho2 Ho 0.000 0.000 0.190
Ho3 Ho 0.000 0.000 0.380
In1 In 0.500 0.500 0.500
Cu1 Cu 0.500 0.500 0.095
Cu2 Cu 0.500 0.500 0.286

3.
# GGA-PBE Sm6Ge2I3Cl, optimized geometry
# N(E_F) (states/eV/f.u.): 5.53
# Raw formation energy (eV per atom): -1.0272
data_Sm6Ge2I3Cl
_chemical_formula_sum 'Sm12 Ge4 I6 Cl2'
_cell_length_a 7.279
_cell_length_b 12.633
_cell_length_c 8.061
_cell_angle_alpha 90.00
_cell_angle_beta 107.59
_cell_angle_gamma 90.00
_symmetry_space_group_name_H-M 'C 1 2/m 1'
_symmetry_Int_Tables_number 12
loop_
_symmetry_equiv_pos_as_xyz
'x,y,z'
'-x,-y,-z'
'-x,y,-z'
'x,-y,z'
'x+1/2,y+1/2,z'
'-x+1/2,-y+1/2,-z'
'-x+1/2,y+1/2,-z'
'x+1/2,-y+1/2,z'
loop_
_atom_site_label
_atom_site_type_symbol
_atom_site_fract_x
_atom_site_fract_y
_atom_site_fract_z
Sm1 Sm 0.228 0.164 0.193
Sm2 Sm 0.238 0.500 0.195
Ge1 Ge 0.000 0.334 0.000
I1 I 0.000 0.171 0.500
I2 I 0.000 0.500 0.500
Cl1 Cl 0.000 0.000 0.000

4.
# GGA-PBE La2Th3Ir2, optimized geometry
# N(E_F) (states/eV/f.u.): 7.40
# Energy of formation from the pure elements (eV per atom): -0.5728
data_La2Th3Ir2
_chemical_formula_sum 'La4 Th6 Ir4'
_cell_length_a 12.636
_cell_length_b 3.978
_cell_length_c 9.072
_cell_angle_alpha 90.00
_cell_angle_beta 116.79
_cell_angle_gamma 90.00
_symmetry_space_group_name_H-M 'C 1 2/m 1'
_symmetry_Int_Tables_number 12
loop_
_symmetry_equiv_pos_as_xyz
'x,y,z'
'-x,-y,-z'
'-x,y,-z'
'x,-y,z'
'x+1/2,y+1/2,z'
'-x+1/2,-y+1/2,-z'
'-x+1/2,y+1/2,-z'
'x+1/2,-y+1/2,z'
loop_
_atom_site_label
_atom_site_type_symbol
_atom_site_fract_x
_atom_site_fract_y
_atom_site_fract_z
La1 La 0.159 0.000 0.307
Th1 Th 0.000 0.500 0.500
Th2 Th 0.121 0.500 0.951
Ir1 Ir 0.145 0.000 0.743

5.
# GGA-PBE V2TcRuPt, optimized geometry
# N(E_F) (states/eV/f.u.): 6.28
# Energy of formation from the pure elements (eV per atom): 1.3015
data_V2TcRuPt
_chemical_formula_sum 'V2 Tc1 Ru1 Pt1'
_cell_length_a 4.409
_cell_length_b 4.409
_cell_length_c 4.905
_cell_angle_alpha 90.00
_cell_angle_beta 90.00
_cell_angle_gamma 90.00
_symmetry_space_group_name_H-M 'P 4/m m m'
_symmetry_Int_Tables_number 123
_symmetry_space_group_name_Hall '-P 4 2'
loop_
_atom_site_label
_atom_site_type_symbol
_atom_site_fract_x
_atom_site_fract_y
_atom_site_fract_z
V1 V 0.000 0.500 0.000
Tc1 Tc 0.000 0.000 0.500
Ru1 Ru 0.500 0.500 0.000
Pt1 Pt 0.500 0.500 0.500

6.
# GGA-PBE Li8Sb2Se, optimized geometry
# Raw formation energy (eV per atom): -0.7715
data_Li8Sb2Se
_chemical_formula_sum 'Li16 Sb4 Se2'
_cell_length_a 4.654
_cell_length_b 6.159
_cell_length_c 14.068
_cell_angle_alpha 90.00
_cell_angle_beta 90.00
_cell_angle_gamma 90.00
_symmetry_space_group_name_H-M 'I m m m'
_symmetry_Int_Tables_number 71
_symmetry_space_group_name_Hall '-I 2 2'
loop_
_atom_site_label
_atom_site_type_symbol
_atom_site_fract_x
_atom_site_fract_y
_atom_site_fract_z
Li1 Li 0.000 0.000 0.198
Li2 Li 0.000 0.247 0.356
Li3 Li 0.000 0.255 0.000
Sb1 Sb 0.000 0.500 0.174
Se1 Se 0.000 0.500 0.500

7.
# GGA-PBE CaZnSiSF, optimized geometry
# N(E_F) (states/eV/f.u.): 0.78
# Energy above the lowest structure with this stoichiometry (eV per formula unit): 0.023
# Raw formation energy (eV per atom): -1.4017
data_CaZnSiSF
_chemical_formula_sum 'Ca2 Zn2 Si2 S2 F2'
_cell_length_a 3.859
_cell_length_b 3.522
_cell_length_c 14.810
_cell_angle_alpha 90.00
_cell_angle_beta 90.00
_cell_angle_gamma 90.00
_symmetry_space_group_name_H-M 'A m m 2'
_symmetry_Int_Tables_number 38
loop_
_symmetry_equiv_pos_as_xyz
'x,y,z'
'-x,-y,z'
'-x,y,z'
'x,-y,z'
'x,y+1/2,z+1/2'
'-x,-y+1/2,z+1/2'
'-x,y+1/2,z+1/2'
'x,-y+1/2,z+1/2'
loop_
_atom_site_label
_atom_site_type_symbol
_atom_site_fract_x
_atom_site_fract_y
_atom_site_fract_z
Ca1 Ca 0.000 0.000 0.000
Zn1 Zn 0.000 0.000 0.254
Si1 Si 0.500 0.000 0.723
S1 S 0.500 0.000 0.574
F1 F 0.000 0.000 0.403

8.
# GGA-PBE Sm4Te2AsS, optimized geometry
# N(E_F) (states/eV/f.u.): 2.70
# Raw formation energy (eV per atom): -1.6262
data_Sm4Te2AsS
_chemical_formula_sum 'Sm4 Te2 As1 S1'
_cell_length_a 7.299
_cell_length_b 4.227
_cell_length_c 7.612
_cell_angle_alpha 90.00
_cell_angle_beta 108.76
_cell_angle_gamma 90.00
_symmetry_space_group_name_H-M 'P 1 2/m 1'
_symmetry_Int_Tables_number 10
loop_
_symmetry_equiv_pos_as_xyz
'x,y,z'
'-x,-y,-z'
'-x,y,-z'
'x,-y,z'
loop_
_atom_site_label
_atom_site_type_symbol
_atom_site_fract_x
_atom_site_fract_y
_atom_site_fract_z
Sm1 Sm 0.232 0.000 0.211
Sm2 Sm 0.258 0.500 0.785
Te1 Te 0.000 0.000 0.500
Te2 Te 0.500 0.500 0.500
As1 As 0.500 0.000 0.000
S1 S 0.000 0.500 0.000

In eV per atom, the DFT total energy values for the records above are, in order, -4.26; -4.50; -4.70; -7.69; -7.48; -3.23; -4.34; -5.87.